# 1
LaNpMnC3 after structural relaxation. Source: the Alexandria database, functional PBE-GGA.

Results
Crystal system ... monoclinic
Symmetry ... P2_1/m, No. 11
Energy of formation from the pure elements ... 0.64 eV per formula unit

Cell lengths 3.5315, 7.4257, 7.5223 Å; angles 99.29, 90.00, 90.00 degrees
Fractional positions:
La: 0.7500 0.8288 0.8045
La: 0.2500 0.1712 0.1955
C: 0.7500 0.4343 0.1259
C: 0.7500 0.8654 0.1594
C: 0.2500 0.8463 0.4706
C: 0.7500 0.1537 0.5294
C: 0.2500 0.5657 0.8741
C: 0.2500 0.1346 0.8406
Np: 0.2500 0.6451 0.1724
Np: 0.7500 0.3549 0.8276
Mn: 0.7500 0.9110 0.4080
Mn: 0.2500 0.0890 0.5920

# 2
AcEuCl after structural relaxation. Source: the Alexandria database, functional PBE-GGA.

Results
Crystal system ... trigonal
Symmetry ... P3m1, No. 156
VASP energy ... -6.40 eV per atom

Cell lengths 3.9856, 3.9856, 7.7811 Å; angles 90.00, 90.00, 120.00 degrees
Fractional positions:
Cl: 0.3333 0.6667 0.6555
Ac: 0.0000 0.0000 0.9621
Eu: 0.6667 0.3333 0.3823

# 3
TaAgIr after structural relaxation. Source: the Alexandria database, functional PBE-GGA.

Results
Crystal system ... orthorhombic
Symmetry ... Imm2, No. 44
Energy of formation from the pure elements ... -0.36 eV per formula unit

Cell lengths 4.9713, 4.9713, 4.9713 Å; angles 146.04, 133.54, 58.79 degrees
Fractional positions:
Ag: 0.9987 0.9987 0.0000
Ta: 0.6755 0.6755 0.0000
Ir: 0.3259 0.3259 0.0000

# 4
Rb4Ti after structural relaxation. Source: the Alexandria database, functional PBE-GGA.

Results
Crystal system ... cubic
Symmetry ... Pm-3m, No. 221
Energy of formation from the pure elements ... 3.78 eV per formula unit

Cell lengths 7.3200, 7.3200, 7.3200 Å; angles 90.00, 90.00, 90.00 degrees
Fractional positions:
Rb: 0.0000 0.0000 0.0000
Rb: 0.5000 0.0000 0.5000
Rb: 0.5000 0.5000 0.0000
Rb: 0.0000 0.5000 0.5000
Ti: 0.5000 0.5000 0.5000

# 5
DyAlSi after structural relaxation. Source: the Alexandria database, functional PBE-GGA.

Results
Crystal system ... tetragonal
Symmetry ... I4_1md, No. 109
VASP energy ... -5.19 eV per atom

Cell lengths 4.0983, 4.0983, 7.7894 Å; angles 105.23, 105.23, 89.99 degrees
Fractional positions:
Al: 0.5825 0.5822 0.1647
Al: 0.3322 0.8325 0.6647
Dy: 0.7483 0.2484 0.4966
Dy: 0.9984 0.9983 0.9966
Si: 0.1675 0.6676 0.3352
Si: 0.4176 0.4175 0.8352

# 6
KErSn2 after structural relaxation. Source: the Alexandria database, functional PBE-GGA.

Results
Crystal system ... trigonal
Symmetry ... R-3m, No. 166
Energy of formation from the pure elements ... -0.97 eV per formula unit

Cell lengths 3.6963, 3.6963, 10.8341 Å; angles 80.18, 80.18, 60.00 degrees
Fractional positions:
Sn: 0.2574 0.2574 0.2278
Sn: 0.7426 0.7426 0.7722
Er: 0.0000 0.0000 0.0000
K: 0.5000 0.5000 0.5000

# 7
CsBaCd2Bi2 after structural relaxation. Source: the Alexandria database, functional PBE-GGA.

Results
Crystal system ... trigonal
Symmetry ... P-3m1, No. 164
Energy of formation from the pure elements ... -2.74 eV per formula unit

Cell lengths 5.2530, 5.2530, 10.3562 Å; angles 90.00, 90.00, 120.00 degrees
Fractional positions:
Cd: 0.6667 0.3333 0.3008
Cd: 0.3333 0.6667 0.6992
Cs: 0.0000 0.0000 0.0000
Bi: 0.3333 0.6667 0.2792
Bi: 0.6667 0.3333 0.7208
Ba: 0.0000 0.0000 0.5000

# 8
Th2CdOsPb after structural relaxation. Source: the Alexandria database, functional PBE-GGA.

Results
Crystal system ... monoclinic
Symmetry ... P2_1/m, No. 11
Energy of formation from the pure elements ... -0.92 eV per formula unit

Cell lengths 4.4192, 8.3285, 7.9612 Å; angles 110.14, 90.00, 90.00 degrees
Fractional positions:
Cd: 0.2500 0.7028 0.3195
Cd: 0.7500 0.2972 0.6805
Th: 0.2500 0.1040 0.3344
Th: 0.7500 0.7387 0.0316
Th: 0.2500 0.2613 0.9684
Th: 0.7500 0.8960 0.6656
Os: 0.7500 0.1154 0.1041
Os: 0.2500 0.8846 0.8959
Pb: 0.7500 0.4614 0.3307
Pb: 0.2500 0.5386 0.6693

# 9
CaDySc2As4 after structural relaxation. Source: the Alexandria database, functional PBE-GGA.

Results
Crystal system ... monoclinic
Symmetry ... P2/m, No. 10
Energy of formation from the pure elements ... -10.29 eV per formula unit

Cell lengths 3.9974, 7.0127, 6.9620 Å; angles 70.90, 90.00, 90.00 degrees
Fractional positions:
As: 0.5000 0.2319 0.7528
As: 0.5000 0.7681 0.2472
As: 0.0000 0.2277 0.2613
As: 0.0000 0.7723 0.7387
Sc: 0.0000 0.0000 0.0000
Sc: 0.5000 0.0000 0.5000
Dy: 0.0000 0.5000 0.5000
Ca: 0.5000 0.5000 0.0000

# 10
Y5Si2Sn2 after structural relaxation. Source: the Alexandria database, functional PBE-GGA.

Results
Crystal system ... orthorhombic
Symmetry ... Cmce, No. 64
VASP energy ... -6.45 eV per atom

Cell lengths 7.8462, 7.8115, 8.5795 Å; angles 90.00, 62.79, 90.00 degrees
Fractional positions:
Y: 0.5468 0.8264 0.2562
Y: 0.4532 0.1736 0.7438
Y: 0.1969 0.1736 0.2562
Y: 0.5000 0.5000 0.0000
Y: 0.6969 0.3264 0.2562
Y: 0.8031 0.8264 0.7438
Y: 0.0000 0.0000 0.0000
Y: 0.3031 0.6736 0.7438
Y: 0.0468 0.6736 0.2562
Y: 0.9532 0.3264 0.7438
Sn: 0.7880 0.0000 0.4239
Sn: 0.2120 0.0000 0.5761
Sn: 0.7120 0.5000 0.5761
Sn: 0.2880 0.5000 0.4239
Si: 0.8784 0.6223 0.0000
Si: 0.3784 0.8777 0.0000
Si: 0.6216 0.1223 0.0000
Si: 0.1216 0.3777 0.0000

# 11
Zr2RuPb after structural relaxation. Source: the Alexandria database, functional PBE-GGA.

Results
Crystal system ... orthorhombic
Symmetry ... Amm2, No. 38
Energy of formation from the pure elements ... -0.95 eV per formula unit

Cell lengths 4.4779, 3.4335, 5.8184 Å; angles 72.85, 90.00, 90.00 degrees
Fractional positions:
Pb: 0.0000 0.7030 0.4700
Zr: 0.5000 0.2963 0.2831
Zr: 0.0000 0.9773 0.9199
Ru: 0.5000 0.5234 0.8271

# 12
ZrAl2GaAu after structural relaxation. Source: the Alexandria database, functional PBE-GGA.

Results
Crystal system ... tetragonal
Symmetry ... P4/mmm, No. 123
Energy of formation from the pure elements ... 2.00 eV per formula unit

Cell lengths 4.8003, 4.8003, 4.8831 Å; angles 90.00, 90.00, 90.00 degrees
Fractional positions:
Ga: 0.0000 0.0000 0.5000
Zr: 0.5000 0.5000 0.5000
Al: 0.0000 0.5000 0.0000
Al: 0.5000 0.0000 0.0000
Au: 0.0000 0.0000 0.0000

| no. | total magnetization (μB per atom) | V (A^3/atom) |
| --- | --- | --- |
| 1 | 0.342 | 16.223 |
| 2 | 2.394 | 35.682 |
| 3 | 0.000 | 16.442 |
| 4 | 0.781 | 78.446 |
| 5 | 0.000 | 20.244 |
| 6 | 0.000 | 31.419 |
| 7 | 0.000 | 41.248 |
| 8 | 0.000 | 27.509 |
| 9 | 0.000 | 23.052 |
| 10 | 0.000 | 25.980 |
| 11 | 0.000 | 21.369 |
| 12 | 0.000 | 22.505 |